1.
Below is a relaxed NdSi3Tc2 crystal, with properties calculated at the GGA-PBE level.

a b c (Å): 6.065 6.065 5.780
angles (deg): 90.00 90.00 74.79
Sites, in units of the cell vectors:
Nd: 0.162 0.838 0.750
Nd: 0.838 0.162 0.250
Si: 0.032 0.615 0.250
Si: 0.385 0.968 0.250
Si: 0.433 0.567 0.250
Si: 0.567 0.433 0.750
Si: 0.615 0.032 0.750
Si: 0.968 0.385 0.750
Tc: 0.299 0.299 0.000
Tc: 0.299 0.299 0.500
Tc: 0.701 0.701 0.000
Tc: 0.701 0.701 0.500

Summary:
total DFT energy (no corrections) = -90.27 eV per cell
space-group type = Cmcm (63)
raw formation energy = -0.561 eV per atom
crystal system = orthorhombic

2.
Below is a relaxed CoNi2Cl crystal, with properties calculated at the GGA-PBE level.

a b c (Å): 4.301 4.301 4.301
angles (deg): 126.08 126.08 79.76
Sites, in units of the cell vectors:
Co: 0.000 0.000 0.000
Ni: 0.250 0.750 0.500
Ni: 0.500 0.500 0.000
Cl: 0.750 0.250 0.500

Summary:
offset from the most stable computed form = 436 meV per atom
total DFT energy (no corrections) = -17.91 eV per cell
space-group type = I-4m2 (119)
raw formation energy = 0.651 eV per atom
crystal system = tetragonal

Please write out number 1 again, unchanged.
Below is a relaxed NdSi3Tc2 crystal, with properties calculated at the GGA-PBE level.

a b c (Å): 6.065 6.065 5.780
angles (deg): 90.00 90.00 74.79
Sites, in units of the cell vectors:
Nd: 0.162 0.838 0.750
Nd: 0.838 0.162 0.250
Si: 0.032 0.615 0.250
Si: 0.385 0.968 0.250
Si: 0.433 0.567 0.250
Si: 0.567 0.433 0.750
Si: 0.615 0.032 0.750
Si: 0.968 0.385 0.750
Tc: 0.299 0.299 0.000
Tc: 0.299 0.299 0.500
Tc: 0.701 0.701 0.000
Tc: 0.701 0.701 0.500

Summary:
total DFT energy (no corrections) = -90.27 eV per cell
space-group type = Cmcm (63)
raw formation energy = -0.561 eV per atom
crystal system = orthorhombic

- Which of these has the highest total DFT energy (no corrections)?
  CoNi2Cl